Density functional theory data (PBE) for crystalline BiIrS at its relaxed geometry.

Values from the calculation:
Formation energy (no corrections) = -0.105 eV per atom
Calculated volume = 65.13 Å³/f.u.
Symmetry = P2_1/c
Theoretical density = 11.05 g/cm3

```
BiIrS
1.0
-4.090 -1.466 3.090
-3.557 -1.459 -5.401
2.394 -6.980 -0.143
Bi Ir S
4 4 4
Direct
0.278 0.580 0.102
0.222 0.580 0.602
0.722 0.420 0.898
0.778 0.420 0.398
0.464 0.208 0.647
0.964 0.792 0.853
0.536 0.792 0.353
0.036 0.208 0.147
0.734 0.930 0.607
0.766 0.930 0.107
0.266 0.070 0.393
0.234 0.070 0.893
```